ZrBePd, relaxed, DFT PBE-GGA; energy relative to the lowest polymorph listed for this composition = 154 meV per atom
1.0
-0.364 0.443 -2.972
2.258 -1.935 -0.565
-6.536 -7.534 -0.323
Be Pd Zr
2 2 2
Cartesian
-1.723 -4.255 -0.423 Be
-3.866 -4.025 -1.668 Be
-2.312 -2.233 -1.591 Pd
-3.278 -6.047 -0.500 Pd
0.378 -1.833 -0.320 Zr
-5.967 -6.447 -1.772 Zr